Compound: AcHoLu
Source: the Alexandria database
Functional: GGA-PBE
Structure: optimized geometry

Crystal system: hexagonal
Total moment, μB/f.u.: 0.0
Density of states at the Fermi level, states/eV per atom: 1.620
E_form, eV per atom: 0.1654

a = 5.8105 Å, b = 5.8105 Å, c = 3.5430 Å
α = 90.00°, β = 90.00°, γ = 120.00°
Space group P-6m2 (No. 187)
Unique sites:
Ac (0.0000, 0.0000, 0.0000)
Ho (0.3333, 0.6667, 0.5000)
Lu (0.6667, 0.3333, 0.0000)